A geometry-optimized Np2GaTe5 structure. Source: Alexandria via LeMat-Bulk, functional PBE.

abc: 4.1872 8.4378 12.9629
angles: 90.00 90.00 90.00
With the nearest neighbours (Å) after each atom.
Positions (direct):
Np 0.5000 0.4746 0.8230  8 Te 3.11-3.25
Te 0.5000 0.1683 0.0986  2 Ga 2.83, 1 Np 3.15
Te 0.0000 0.0000 0.5000  4 Np 3.11
Te 0.5000 0.6683 0.4014  2 Ga 2.83, 1 Np 3.15
Te 0.0000 0.6806 0.6930  1 Ga 2.93, 4 Np 3.20-3.25
Ga 0.0000 0.0000 0.0000  6 Te 2.83-2.93
Te 0.0000 0.3194 0.3070  1 Ga 2.93, 4 Np 3.20-3.25
Te 0.0000 0.1806 0.8070  1 Ga 2.93, 4 Np 3.20-3.25
Np 0.5000 0.0254 0.3230  8 Te 3.11-3.25
Np 0.5000 0.5254 0.1770  8 Te 3.11-3.25
Te 0.0000 0.5000 0.0000  4 Np 3.11
Te 0.5000 0.3317 0.5986  2 Ga 2.83, 1 Np 3.15
Te 0.0000 0.8194 0.1930  1 Ga 2.93, 4 Np 3.20-3.25
Ga 0.0000 0.5000 0.5000  6 Te 2.83-2.93
Np 0.5000 0.9746 0.6770  8 Te 3.11-3.25
Te 0.5000 0.8317 0.9014  2 Ga 2.83, 1 Np 3.15

Calculated values
The value obtained for the uncorrected formation energy is -4.07 eV/f.u. Its total energy is -97.4 eV/cell.